(1)
Entry from Alexandria: an optimized crystal structure of CaCe2TmN4 (PBE).

Structure (POSCAR):
```
CaCe2TmN4
1.0
6.048 0.000 0.000
0.000 3.532 0.000
-2.054 0.000 5.780
Ca Ce Tm N
1 2 1 4
Direct
0.000 0.000 0.000
0.500 0.000 0.500
0.500 0.500 0.000
0.000 0.500 0.500
0.250 0.000 0.740
0.265 0.500 0.266
0.735 0.500 0.734
0.750 0.000 0.260
```

Results
**Space-group type**: No. 10
**E**: -7.909 eV per atom
**Magnetic moment**: 0.086 μB per atom
**Crystal system**: monoclinic
**Formation energy from raw total energies**: -1.45 eV/atom



(2)
Entry from Alexandria: an optimized crystal structure of Cs2Ge2Te7 (PBE).

Structure (POSCAR):
```
Cs2Ge2Te7
1.0
6.747 -5.215 0.000
6.747 5.215 0.000
-4.697 0.000 6.793
Cs Ge Te
2 2 7
Direct
0.235 0.765 0.000
0.765 0.235 0.000
0.217 0.217 0.535
0.783 0.783 0.465
0.000 0.000 0.500
0.216 0.489 0.454
0.260 0.260 0.888
0.489 0.216 0.454
0.511 0.784 0.546
0.740 0.740 0.112
0.784 0.511 0.546
```

Results
**Space-group type**: No. 12
**E**: -3.210 eV per atom
**Magnetic moment**: 0.000 μB per atom
**Crystal system**: monoclinic
**Formation energy from raw total energies**: -0.22 eV/atom



Among the records above, which one has the highest magnetic moment? CaCe2TmN4



Repeat the second record exactly.
Entry from Alexandria: an optimized crystal structure of Cs2Ge2Te7 (PBE).

Structure (POSCAR):
```
Cs2Ge2Te7
1.0
6.747 -5.215 0.000
6.747 5.215 0.000
-4.697 0.000 6.793
Cs Ge Te
2 2 7
Direct
0.235 0.765 0.000
0.765 0.235 0.000
0.217 0.217 0.535
0.783 0.783 0.465
0.000 0.000 0.500
0.216 0.489 0.454
0.260 0.260 0.888
0.489 0.216 0.454
0.511 0.784 0.546
0.740 0.740 0.112
0.784 0.511 0.546
```

Results
**Space-group type**: No. 12
**E**: -3.210 eV per atom
**Magnetic moment**: 0.000 μB per atom
**Crystal system**: monoclinic
**Formation energy from raw total energies**: -0.22 eV/atom



Among the records above, which one has the highest E? Cs2Ge2Te7



What is the magnetic moment in the second record? 0.000 μB per atom